The following is a PBE calculation of crystalline MgPaS at its relaxed geometry, from Alexandria via LeMat-Bulk.

Geometry as extended XYZ:
```
12
Lattice="-3.420 0.522 -0.316 1.946 -0.525 -2.830 -5.902 -36.989 2.804" Properties=species:S:1:pos:R:3 pbc="T T T"
S -1.906 -1.549 -1.024
S -5.470 -35.444 0.681
S -4.883 -31.765 0.403
S -2.493 -5.228 -0.745
Pa -3.184 -9.558 -0.416
Pa -6.981 -33.356 1.388
Pa -0.395 -3.636 -1.730
Pa -4.192 -27.435 0.074
Mg -5.565 -24.483 0.715
Mg -1.810 -12.510 -1.057
Mg -0.964 -7.205 -1.459
Mg -6.411 -29.787 1.117
```

The formation energy (no corrections) is -0.516 eV per atom. The space group is P-3m1 (164). Its total energy is -5.59 eV per atom.